1.
# Ta3In4, relaxed, DFT PBE-GGA
data_Ta3In4
_chemical_formula_sum 'Ta3 In4'
_cell_length_a 5.6419
_cell_length_b 5.6419
_cell_length_c 5.4132
_cell_angle_alpha 90.00
_cell_angle_beta 90.00
_cell_angle_gamma 120.00
_space_group_name_H-M_alt 'P 6/m m m'
_space_group_IT_number 191
_space_group_name_Hall '-P 6 2'
loop_
_atom_site_label
_atom_site_fract_x
_atom_site_fract_y
_atom_site_fract_z
_atom_site_occupancy
Ta1 0.0000 0.5000 0.0000 1
In1 0.0000 0.0000 0.2495 1
In2 0.3333 0.6667 0.5000 1
# **ΔH_f (0 K)**: 0.25 eV per atom
# **Raw total energy**: -6.40 eV/atom

***

2.
# POsW2C, relaxed, DFT PBE-GGA
data_POsW2C
_chemical_formula_sum 'P1 Os1 W2 C1'
_cell_length_a 4.446
_cell_length_b 4.446
_cell_length_c 4.288
_cell_angle_alpha 90.00
_cell_angle_beta 90.00
_cell_angle_gamma 90.00
_space_group_name_H-M_alt 'P 4/m m m'
_space_group_IT_number 123
_space_group_name_Hall '-P 4 2'
loop_
_atom_site_label
_atom_site_fract_x
_atom_site_fract_y
_atom_site_fract_z
_atom_site_occupancy
P1 0.000 0.000 0.000 1
Os1 0.000 0.000 0.500 1
W1 0.000 0.500 0.000 1
C1 0.500 0.500 0.500 1
# **ΔH_f (0 K)**: 2.23 eV per atom
# **Raw total energy**: -8.13 eV/atom

***

3.
# ThUH2, relaxed, DFT PBE-GGA
data_ThUH2
_chemical_formula_sum 'Th3 U3 H6'
_cell_length_a 3.7338
_cell_length_b 3.7338
_cell_length_c 17.6866
_cell_angle_alpha 90.00
_cell_angle_beta 90.00
_cell_angle_gamma 120.00
_space_group_name_H-M_alt 'R -3 m'
_space_group_IT_number 166
_space_group_name_Hall '-R 3 2"'
loop_
_atom_site_label
_atom_site_fract_x
_atom_site_fract_y
_atom_site_fract_z
_atom_site_occupancy
Th1 0.0000 0.0000 0.0000 1
U1 0.0000 0.0000 0.5000 1
H1 0.0000 0.0000 0.3747 1
# **Raw total energy**: -6.34 eV/atom

***

4.
# NaInSb3, relaxed, DFT PBE-GGA
data_NaInSb3
_chemical_formula_sum 'Na1 In1 Sb3'
_cell_length_a 5.705
_cell_length_b 5.705
_cell_length_c 5.705
_cell_angle_alpha 90.00
_cell_angle_beta 90.00
_cell_angle_gamma 90.00
_space_group_name_H-M_alt 'P m -3 m'
_space_group_IT_number 221
_space_group_name_Hall '-P 4 2 3'
loop_
_atom_site_label
_atom_site_fract_x
_atom_site_fract_y
_atom_site_fract_z
_atom_site_occupancy
Na1 0.000 0.000 0.000 1
In1 0.500 0.500 0.500 1
Sb1 0.000 0.500 0.500 1
# **Energy above the lowest structure with this stoichiometry**: 0 meV per atom
# **Raw total energy**: -2.82 eV/atom
# **Energy relative to the elements, uncorrected**: 2.33 eV per formula unit

***

5.
# Tl2Ge2Te, relaxed, DFT PBE-GGA
data_Tl2Ge2Te
_chemical_formula_sum 'Tl4 Ge4 Te2'
_cell_length_a 9.387
_cell_length_b 9.387
_cell_length_c 3.184
_cell_angle_alpha 90.00
_cell_angle_beta 90.00
_cell_angle_gamma 90.00
_space_group_name_H-M_alt 'P 4/m b m'
_space_group_IT_number 127
_space_group_name_Hall '-P 4 2ab'
loop_
_atom_site_label
_atom_site_fract_x
_atom_site_fract_y
_atom_site_fract_z
_atom_site_occupancy
Tl1 0.202 0.298 0.000 1
Ge1 0.094 0.594 0.500 1
Te1 0.000 0.000 0.000 1
# **Energy above the lowest structure with this stoichiometry**: 127 meV per atom
# **Raw total energy**: -3.17 eV/atom
# **Energy relative to the elements, uncorrected**: 1.28 eV per formula unit

***

6.
# SrCuAs2Se, relaxed, DFT PBE-GGA
data_SrCuAs2Se
_chemical_formula_sum 'Sr1 Cu1 As2 Se1'
_cell_length_a 4.748
_cell_length_b 4.748
_cell_length_c 5.206
_cell_angle_alpha 90.00
_cell_angle_beta 90.00
_cell_angle_gamma 90.00
_space_group_name_H-M_alt 'P 4/m m m'
_space_group_IT_number 123
_space_group_name_Hall '-P 4 2'
loop_
_atom_site_label
_atom_site_fract_x
_atom_site_fract_y
_atom_site_fract_z
_atom_site_occupancy
Sr1 0.000 0.000 0.000 1
Cu1 0.500 0.500 0.500 1
As1 0.000 0.500 0.500 1
Se1 0.500 0.500 0.000 1
# **Energy above the lowest structure with this stoichiometry**: 0 meV per atom
# **Raw total energy**: -3.99 eV/atom
# **Energy relative to the elements, uncorrected**: -1.39 eV per formula unit

***

7.
# YMo, relaxed, DFT PBE-GGA
data_YMo
_chemical_formula_sum 'Y2 Mo2'
_cell_length_a 3.302
_cell_length_b 3.302
_cell_length_c 8.427
_cell_angle_alpha 90.00
_cell_angle_beta 90.00
_cell_angle_gamma 90.00
_space_group_name_H-M_alt 'P 4/n m m'
_space_group_IT_number 129
loop_
_space_group_symop_operation_xyz
'x,y,z'
'-x,-y,-z'
'-y+1/2,x,z'
'y+1/2,-x,-z'
'-x+1/2,-y+1/2,z'
'x+1/2,y+1/2,-z'
'y,-x+1/2,z'
'-y,x+1/2,-z'
'x+1/2,-y,-z'
'-x+1/2,y,z'
'-y,-x,-z'
'y,x,z'
'-x,y+1/2,-z'
'x,-y+1/2,z'
'y+1/2,x+1/2,-z'
'-y+1/2,-x+1/2,z'
loop_
_atom_site_label
_atom_site_fract_x
_atom_site_fract_y
_atom_site_fract_z
_atom_site_occupancy
Y1 0.250 0.250 0.182 1
Mo1 0.250 0.250 0.578 1
# **Energy above the lowest structure with this stoichiometry**: 0 meV per atom
# **ΔH_f (0 K)**: 0.14 eV per atom
# **Raw total energy**: -8.51 eV/atom

***

8.
# Pm3Y3Tm, relaxed, DFT PBE-GGA
data_Pm3Y3Tm
_chemical_formula_sum 'Pm6 Y6 Tm2'
_cell_length_a 9.6457
_cell_length_b 9.6457
_cell_length_c 5.7597
_cell_angle_alpha 90.00
_cell_angle_beta 90.00
_cell_angle_gamma 120.00
_space_group_name_H-M_alt 'P 63/m'
_space_group_IT_number 176
_space_group_name_Hall '-P 6c'
loop_
_atom_site_label
_atom_site_fract_x
_atom_site_fract_y
_atom_site_fract_z
_atom_site_occupancy
Pm1 0.0495 0.2416 0.2500 1
Y1 0.0952 0.4770 0.7500 1
Tm1 0.3333 0.6667 0.2500 1
# **Energy above the lowest structure with this stoichiometry**: 0 meV per atom
# **ΔH_f (0 K)**: 0.02 eV per atom
# **Raw total energy**: -5.43 eV/atom

***

9.
# Pa4AlRh12, relaxed, DFT PBE-GGA
data_Pa4AlRh12
_chemical_formula_sum 'Pa8 Al2 Rh24'
_cell_length_a 8.299
_cell_length_b 8.299
_cell_length_c 8.299
_cell_angle_alpha 90.00
_cell_angle_beta 90.00
_cell_angle_gamma 90.00
_space_group_name_H-M_alt 'I m -3 m'
_space_group_IT_number 229
_space_group_name_Hall '-I 4 2 3'
loop_
_atom_site_label
_atom_site_fract_x
_atom_site_fract_y
_atom_site_fract_z
_atom_site_occupancy
Pa1 0.250 0.250 0.250 1
Al1 0.000 0.000 0.000 1
Rh1 0.000 0.000 0.282 1
Rh2 0.000 0.250 0.500 1
# **ΔH_f (0 K)**: -0.84 eV per atom
# **Raw total energy**: -8.49 eV/atom

***

10.
# CsLi2CdIn, relaxed, DFT PBE-GGA
data_CsLi2CdIn
_chemical_formula_sum 'Cs1 Li2 Cd1 In1'
_cell_length_a 6.142
_cell_length_b 6.142
_cell_length_c 7.299
_cell_angle_alpha 90.00
_cell_angle_beta 90.00
_cell_angle_gamma 90.00
_space_group_name_H-M_alt 'P 4/m m m'
_space_group_IT_number 123
_space_group_name_Hall '-P 4 2'
loop_
_atom_site_label
_atom_site_fract_x
_atom_site_fract_y
_atom_site_fract_z
_atom_site_occupancy
Cs1 0.000 0.000 0.000 1
Li1 0.000 0.500 0.000 1
Cd1 0.500 0.500 0.500 1
In1 0.000 0.000 0.500 1
# **Energy above the lowest structure with this stoichiometry**: 917 meV per atom
# **ΔH_f (0 K)**: 0.90 eV per atom
# **Raw total energy**: -0.76 eV/atom

***

11.
# Pr4Ge2Se, relaxed, DFT PBE-GGA
data_Pr4Ge2Se
_chemical_formula_sum 'Pr16 Ge8 Se4'
_cell_length_a 9.183
_cell_length_b 9.183
_cell_length_c 9.182
_cell_angle_alpha 90.00
_cell_angle_beta 90.00
_cell_angle_gamma 90.00
_space_group_name_H-M_alt 'I -4 2 d'
_space_group_IT_number 122
_space_group_name_Hall 'I -4 2bw'
loop_
_atom_site_label
_atom_site_fract_x
_atom_site_fract_y
_atom_site_fract_z
_atom_site_occupancy
Pr1 0.069 0.185 0.311 1
Ge1 0.126 0.250 0.625 1
Se1 0.000 0.000 0.000 1
# **Raw total energy**: -5.60 eV/atom
# **Energy relative to the elements, uncorrected**: -7.33 eV per formula unit

***

12.
# CaPuSi2, relaxed, DFT PBE-GGA
data_CaPuSi2
_chemical_formula_sum 'Ca2 Pu2 Si4'
_cell_length_a 3.840
_cell_length_b 4.431
_cell_length_c 10.701
_cell_angle_alpha 90.00
_cell_angle_beta 90.00
_cell_angle_gamma 90.00
_space_group_name_H-M_alt 'A m m 2'
_space_group_IT_number 38
loop_
_space_group_symop_operation_xyz
'x,y,z'
'-x,-y,z'
'-x,y,z'
'x,-y,z'
'x,y+1/2,z+1/2'
'-x,-y+1/2,z+1/2'
'-x,y+1/2,z+1/2'
'x,-y+1/2,z+1/2'
loop_
_atom_site_label
_atom_site_fract_x
_atom_site_fract_y
_atom_site_fract_z
_atom_site_occupancy
Ca1 0.000 0.000 0.000 1
Pu1 0.500 0.000 0.282 1
Si1 0.000 0.000 0.714 1
Si2 0.500 0.000 0.573 1
# **Raw total energy**: -7.24 eV/atom
# **Energy relative to the elements, uncorrected**: -1.77 eV per formula unit